This record from Alexandria describes crystalline Sr2PmTmSe4 at its relaxed geometry. The functional is PBE-GGA.

Lattice parameters (Å, degrees): 7.3222 4.2217 7.4775 90.00 108.99 90.00
With the nearest neighbours (Å) after each atom.
Space group P2/m (No. 10)
Unique sites:
Sr: 0.0000 0.0000 0.0000 [1 per cell]  6 Se 3.12-3.13
Sr: 0.5000 0.5000 0.0000 [1 per cell]  6 Se 3.05-3.06
Pm: 0.0000 0.5000 0.5000 [1 per cell]  6 Se 2.98
Tm: 0.5000 0.0000 0.5000 [1 per cell]  6 Se 2.90-2.91
Se: 0.2533 0.0000 0.7347 [2 per cell]  1 Tm 2.90, 2 Pm 2.98, 3 Sr 3.05-3.13
Se: 0.2647 0.5000 0.2708 [2 per cell]  2 Tm 2.91, 1 Pm 2.98, 3 Sr 3.06-3.12

Summary:
The calculation puts the density at 6116 kg/m³. As for the formation energy from raw total energies: -1875 meV per atom. Its density of states at the Fermi level is 3.58 states/eV per cell.